NdPu2TeO4 after structural relaxation. Source: the Alexandria database, functional PBE.

Summary:
V ... 17.96 A^3/atom
Raw total energy ... -9.87 eV/atom

a b c (Å): 3.9623 3.9623 9.1516
angles (deg): 90.00 90.00 90.00
Each line ends with the local moment (μB).
Atoms (fractional coordinates):
Nd: 0.0000 0.0000 0.0000  0.01
Pu: 0.5000 0.5000 0.2746  4.68
Pu: 0.5000 0.5000 0.7254  4.68
Te: 0.0000 0.0000 0.5000  -0.18
O: 0.0000 0.5000 0.1607  -0.09
O: 0.5000 0.0000 0.8393  -0.09
O: 0.5000 0.0000 0.1607  -0.09
O: 0.0000 0.5000 0.8393  -0.09

=====

Cs3Pa2AgTe6 after structural relaxation. Source: the Alexandria database, functional PBE.

Summary:
V ... 40.18 A^3/atom
Raw total energy ... -4.45 eV/atom

a b c (Å): 7.8960 7.8960 9.3118
angles (deg): 98.05 98.05 120.09
Each line ends with the local moment (μB).
Atoms (fractional coordinates):
Cs: 0.1614 0.8386 0.5000  0.00
Cs: 0.8386 0.1614 0.5000  0.00
Cs: 0.5000 0.5000 0.5000  0.00
Pa: 0.3327 0.6673 0.0000  1.02
Pa: 0.6673 0.3327 0.0000  1.02
Ag: 0.0000 0.0000 0.0000  -0.01
Te: 0.9366 0.5930 0.8088  -0.03
Te: 0.7213 0.7213 0.1872  -0.03
Te: 0.0634 0.4070 0.1912  -0.03
Te: 0.5930 0.9366 0.8088  -0.03
Te: 0.2787 0.2787 0.8128  -0.03
Te: 0.4070 0.0634 0.1912  -0.03